Entry from Alexandria: Na3MgSb2S6 after structural relaxation (PBE).

Summary:
VASP energy, eV/atom: -4.03
E_form (uncorrected), meV/atom: -814.5

abc: 6.700 6.700 7.106
angles: 99.06 99.06 119.97
Fractional positions:
1 Na 0.000 0.000 0.000
2 Na 0.328 0.672 0.000
3 Na 0.672 0.328 0.000
4 Mg 0.500 0.500 0.500
5 Sb 0.166 0.834 0.500
6 Sb 0.834 0.166 0.500
7 S 0.101 0.426 0.278
8 S 0.249 0.249 0.724
9 S 0.426 0.101 0.278
10 S 0.574 0.899 0.722
11 S 0.751 0.751 0.276
12 S 0.899 0.574 0.722